Entry 1:
Ca2ZrSi after structural relaxation, computed with PBE-GGA.

Summary:
As for the uncorrected formation energy: 0.77 eV/f.u.

Cell and atoms, written as POSCAR:
```
Ca2ZrSi
1.0
-2.356 -5.372 -1.420
1.352 1.247 5.749
-3.011 0.790 0.828
Zr Ca Si
1 2 1
Cartesian
-0.830 1.018 3.289
0.000 0.000 0.000
-0.502 -2.062 2.164
-2.684 -2.291 -0.296
```

---

Entry 2:
SnTe2SeI after structural relaxation, computed with PBE-GGA.

Summary:
The value obtained for the energy above the most stable polymorph in this dataset is 0 meV per atom. As for the uncorrected formation energy: 1.48 eV/f.u.

Cell and atoms, written as POSCAR:
```
SnTe2SeI
1.0
-2.700 -1.329 -4.604
0.235 -5.315 1.396
-4.988 0.510 2.779
Sn Te Se I
1 2 1 1
Cartesian
-3.727 -3.067 -0.214
0.117 -2.657 0.698
-1.350 -0.664 -2.302
0.000 0.000 0.000
-2.494 0.255 1.389
```

---

Entry 3:
CaLa2PrSe4 after structural relaxation, computed with PBE-GGA.

Summary:
As for the uncorrected formation energy: -15.56 eV/f.u.

Cell and atoms, written as POSCAR:
```
CaLa2PrSe4
1.0
4.259 0.000 0.000
0.000 7.396 -0.156
0.000 2.595 6.972
Se Ca La Pr
4 1 2 1
Cartesian
2.129 3.848 5.215
2.129 6.143 1.601
0.000 7.449 5.166
4.259 2.542 1.649
2.129 3.698 -0.078
2.129 1.298 3.486
0.000 2.595 6.972
0.000 4.996 3.408
```